Compound: NiPdBrCl2
Source: Alexandria
Functional: PBE-GGA
Structure: optimized geometry

Calculated values
formation energy from raw total energies: 0.32 eV per atom
crystal system: tetragonal

Lattice parameters (Å, degrees): 4.618 4.618 5.524 90.00 90.00 90.00
Sites, in units of the cell vectors:
Ni1 0.000 0.000 0.000
Pd1 0.000 0.000 0.500
Br1 0.500 0.500 0.000
Cl1 0.000 0.500 0.500
Cl2 0.500 0.000 0.500

---

Compound: Pr3Nd6Y
Source: Alexandria
Functional: PBE-GGA
Structure: optimized geometry

Calculated values
crystal system: monoclinic
formation energy from the elements: 25 kJ per mole of atoms
E above lowest polymorph: 1.231 eV per formula unit

Lattice parameters (Å, degrees): 6.840 6.840 8.947 101.45 101.45 63.11
Sites, in units of the cell vectors:
Pr1 0.000 0.000 0.000
Pr2 0.463 0.463 0.159
Pr3 0.537 0.537 0.841
Nd1 0.027 0.479 0.810
Nd2 0.337 0.337 0.507
Nd3 0.479 0.027 0.810
Nd4 0.521 0.973 0.190
Nd5 0.663 0.663 0.493
Nd6 0.973 0.521 0.190
Y1 0.000 0.000 0.500

---

Compound: MnTcRu2
Source: Alexandria
Functional: PBE-GGA
Structure: optimized geometry

Calculated values
crystal system: orthorhombic
formation energy from the elements: 19 kJ per mole of atoms
E above lowest polymorph: 0.551 eV per formula unit

Lattice parameters (Å, degrees): 2.919 4.313 8.840 90.00 90.00 90.00
Sites, in units of the cell vectors:
Mn1 0.000 0.000 0.000
Mn2 0.500 0.500 0.500
Tc1 0.000 0.500 0.272
Tc2 0.500 0.000 0.772
Ru1 0.000 0.000 0.504
Ru2 0.000 0.500 0.728
Ru3 0.500 0.000 0.228
Ru4 0.500 0.500 0.004

---

Compound: RbMnZnGe2
Source: Alexandria
Functional: PBE-GGA
Structure: optimized geometry

Calculated values
crystal system: tetragonal
formation energy from the elements: 3 kJ per mole of atoms

Lattice parameters (Å, degrees): 4.630 4.630 5.029 90.00 90.00 90.00
Sites, in units of the cell vectors:
Rb1 0.000 0.000 0.000
Mn1 0.500 0.500 0.500
Zn1 0.500 0.500 0.000
Ge1 0.000 0.500 0.500
Ge2 0.500 0.000 0.500

---

Compound: MgTa2W
Source: Alexandria
Functional: PBE-GGA
Structure: optimized geometry

Calculated values
crystal system: tetragonal
formation energy from the elements: 88 kJ per mole of atoms

Lattice parameters (Å, degrees): 7.479 7.479 5.603 90.00 90.00 90.00
Sites, in units of the cell vectors:
Mg1 0.000 0.000 0.000
Mg2 0.000 0.500 0.250
Mg3 0.500 0.000 0.750
Mg4 0.500 0.500 0.500
Ta1 0.224 0.750 0.625
Ta2 0.250 0.224 0.375
Ta3 0.250 0.276 0.875
Ta4 0.276 0.750 0.125
Ta5 0.724 0.250 0.125
Ta6 0.750 0.724 0.875
Ta7 0.750 0.776 0.375
Ta8 0.776 0.250 0.625
W1 0.000 0.000 0.500
W2 0.000 0.500 0.750
W3 0.500 0.000 0.250
W4 0.500 0.500 0.000

---

Compound: BeTlF2
Source: Alexandria
Functional: PBE-GGA
Structure: optimized geometry

Calculated values
formation energy from raw total energies: -1.82 eV per atom
crystal system: trigonal
E above lowest polymorph: 0.724 eV per formula unit

Lattice parameters (Å, degrees): 2.935 2.935 28.474 90.00 90.00 120.00
Sites, in units of the cell vectors:
Be1 0.000 0.000 0.000
Be2 0.333 0.667 0.667
Be3 0.667 0.333 0.333
Tl1 0.000 0.000 0.500
Tl2 0.333 0.667 0.167
Tl3 0.667 0.333 0.833
F1 0.000 0.000 0.363
F2 0.000 0.000 0.637
F3 0.333 0.667 0.029
F4 0.333 0.667 0.304
F5 0.667 0.333 0.696
F6 0.667 0.333 0.971

---

Computed values of total DFT energy (no corrections) (unit: eV/atom) for the preceding records, in sequence: -2.94; -4.69; -9.32; -4.09; -8.65; -4.28.